1.
VASP calculation (PBE) on an optimized crystal structure of Sr2CeBeO5.

Geometry as POSCAR:
```
Sr2CeBeO5
1.0
3.491 0.000 0.000
-1.745 6.931 0.000
0.000 0.000 11.000
Sr O Ce Be
4 10 2 2
Direct
0.904 0.807 0.170
0.126 0.252 0.347
0.096 0.193 0.670
0.874 0.748 0.847
0.341 0.682 0.014
0.500 0.001 0.284
0.295 0.589 0.673
0.500 0.999 0.784
0.328 0.655 0.404
0.705 0.411 0.173
0.672 0.345 0.904
0.659 0.318 0.514
0.032 0.064 0.986
0.968 0.936 0.486
0.812 0.624 0.541
0.188 0.376 0.041
0.555 0.110 0.905
0.445 0.890 0.405
```

Summary:
Calculated volume = 14.78 Å³/atom
Symmetry = Cmc2_1 (36)
E = -63.8 eV/f.u.



2.
VASP calculation (PBE) on an optimized crystal structure of RbSeS2.

Geometry as POSCAR:
```
RbSeS2
1.0
6.597 0.000 0.000
0.000 6.597 0.000
3.299 3.299 6.507
S Se Rb
4 2 2
Direct
0.257 0.625 0.250
0.875 0.743 0.750
0.375 0.507 0.750
0.493 0.125 0.250
0.500 0.500 0.000
0.250 0.750 0.500
0.000 0.000 0.000
0.750 0.250 0.500
```

Summary:
Calculated volume = 35.41 Å³/atom
Symmetry = I-42d (122)
E = -13.6 eV/f.u.



3.
VASP calculation (PBE) on an optimized crystal structure of V3Cr.

Geometry as POSCAR:
```
V3Cr
1.0
4.177 0.000 0.000
0.000 5.108 -0.395
0.000 -1.299 4.956
V Cr
6 2
Direct
0.250 0.619 0.869
0.250 0.131 0.381
0.750 0.878 0.122
0.750 0.381 0.131
0.750 0.869 0.619
0.250 0.122 0.878
0.250 0.626 0.374
0.750 0.374 0.626
```

Summary:
Calculated volume = 12.95 Å³/atom
Symmetry = Cmcm (63)
Formation enthalpy at 0 K = -0.04 eV per atom



4.
VASP calculation (PBE) on an optimized crystal structure of Rb3NaNp3Se8.

Geometry as POSCAR:
```
Rb3NaNp3Se8
1.0
8.469 0.000 0.000
-4.235 7.332 -0.029
0.000 -4.860 8.008
Se Na Np Rb
8 1 3 3
Direct
0.268 0.536 0.305
0.706 0.949 0.691
0.758 0.515 0.309
0.294 0.051 0.309
0.732 0.464 0.695
0.757 0.051 0.309
0.243 0.949 0.691
0.242 0.485 0.691
0.000 0.000 0.500
0.000 0.500 0.500
0.500 0.000 0.500
0.500 0.500 0.500
0.000 0.500 0.000
0.000 0.000 0.000
0.500 0.500 0.000
```

Summary:
Calculated volume = 33.07 Å³/atom
Symmetry = R-3m (166)
E = -88.6 eV/f.u.



5.
VASP calculation (PBE) on an optimized crystal structure of TaTlBr5.

Geometry as POSCAR:
```
TaTlBr5
1.0
-6.406 0.383 -5.738
0.812 -1.324 -8.467
-2.980 -9.371 -2.018
Br Tl Ta
10 2 2
Direct
0.095 0.653 0.020
0.091 0.654 0.616
0.909 0.346 0.384
0.347 0.905 0.480
0.654 0.091 0.116
0.894 0.106 0.750
0.346 0.909 0.884
0.905 0.347 0.980
0.106 0.894 0.250
0.653 0.095 0.520
0.553 0.447 0.250
0.447 0.553 0.750
0.000 0.000 0.500
0.000 0.000 0.000
```

Summary:
Calculated volume = 40.56 Å³/atom
Symmetry = C2/c (15)
E = -28.1 eV/f.u.



6.
VASP calculation (PBE) on an optimized crystal structure of La2CrSe.

Geometry as POSCAR:
```
La2CrSe
1.0
-2.264 -1.195 -5.963
-0.452 -4.371 -4.775
-4.119 -2.291 0.158
Se La Cr
1 2 1
Direct
0.554 0.554 0.446
0.744 0.744 0.756
0.983 0.983 0.017
0.219 0.219 0.281
```

Summary:
Calculated volume = 25.98 Å³/atom
Symmetry = Imm2 (44)
E = -24.7 eV/f.u.



7.
VASP calculation (PBE) on an optimized crystal structure of Sr2AlAu.

Geometry as POSCAR:
```
Sr2AlAu
1.0
-4.321 -0.164 0.459
0.106 -8.006 -1.855
0.507 -6.024 2.619
Sr Al Au
2 1 1
Direct
0.000 0.000 0.000
0.500 0.500 0.000
0.500 0.500 0.500
0.000 0.000 0.500
```

Summary:
Calculated volume = 35.16 Å³/atom
Symmetry = Pmmm (47)
Formation enthalpy at 0 K = -0.21 eV per atom



8.
VASP calculation (PBE) on an optimized crystal structure of TaCd2Si.

Geometry as POSCAR:
```
TaCd2Si
1.0
2.885 0.038 0.000
-0.028 2.885 0.000
0.000 0.000 9.407
Si Ta Cd
1 1 2
Direct
0.500 0.500 0.250
0.500 0.500 0.750
0.000 0.000 0.992
0.000 0.000 0.508
```

Summary:
Calculated volume = 19.58 Å³/atom
Symmetry = Cmmm (65)
E = -17.4 eV/f.u.